This record from the Alexandria database describes a PBEsol-optimized structure of InCoSb3. The functional is SCAN.

Unit cell a=4.9392 b=4.9392 c=4.9392 alpha=90.00 beta=90.00 gamma=90.00
Space group Pm-3m (No. 221)
One atom of each set of equivalent atoms:
In  0.0000  0.0000  0.0000 [1 per cell]
Co  0.5000  0.5000  0.5000 [1 per cell]
Sb  0.0000  0.5000  0.5000 [3 per cell]

Calculated values
Formation energy (no corrections)   397 meV/atom
Total DFT energy (no corrections)   -32.10 eV/atom
ρ   7.43 g cm⁻³
Total moment   0.00 μB per atom

=====

This record from the Alexandria database describes a PBEsol-optimized structure of KAgTe2. The functional is SCAN.

Unit cell a=3.6592 b=3.6592 c=9.4987 alpha=90.00 beta=90.00 gamma=90.00
Space group P4mm (No. 99)
One atom of each set of equivalent atoms:
K  0.0000  0.0000  0.0000 [1 per cell]
Ag  0.5000  0.5000  0.5227 [1 per cell]
Te  0.0000  0.0000  0.6448 [1 per cell]
Te  0.5000  0.5000  0.2348 [1 per cell]

Calculated values
Formation energy (no corrections)   -268 meV/atom
Total DFT energy (no corrections)   -28.82 eV/atom
ρ   5.25 g cm⁻³
Total moment   0.00 μB per atom

=====

This record from the Alexandria database describes a PBEsol-optimized structure of Tl2CdAu2. The functional is SCAN.

Unit cell a=3.8078 b=3.8078 c=16.3675 alpha=90.00 beta=90.00 gamma=90.00
Space group I4/mmm (No. 139)
One atom of each set of equivalent atoms:
Tl  0.0000  0.0000  0.1062 [4 per cell]
Cd  0.0000  0.0000  0.5000 [2 per cell]
Au  0.0000  0.5000  0.2500 [4 per cell]

Calculated values
ΔE_f   24 kJ/mol of formula units
Total DFT energy (no corrections)   -62.64 eV/atom
ρ   12.81 g cm⁻³
ΔE to the lowest computed polymorph   86 meV per atom
Total moment   0.00 μB per atom

=====

This record from the Alexandria database describes a PBEsol-optimized structure of Zn2CrSi. The functional is SCAN.

Unit cell a=3.0228 b=3.5808 c=4.9697 alpha=90.00 beta=90.00 gamma=90.00
Space group Pmmm (No. 47)
One atom of each set of equivalent atoms:
Zn  0.0000  0.0000  0.2453 [2 per cell]
Cr  0.5000  0.5000  0.0000 [1 per cell]
Si  0.5000  0.5000  0.5000 [1 per cell]

Calculated values
Formation energy (no corrections)   121 meV/atom
Total DFT energy (no corrections)   -13.74 eV/atom
ρ   6.51 g cm⁻³
Total moment   0.78 μB per atom